A relaxed structure of CePr3In3. Source: Alexandria via LeMat-Bulk, functional PBE-GGA.

Computed properties:
* energy of formation from the pure elements: -0.279 eV/atom
* calculated volume: 433 Å³ per cell

Cell and atoms, written as CIF:
```
data_CePr3In3
_cell_length_a 9.6888
_cell_length_b 9.6888
_cell_length_c 5.3217
_cell_angle_alpha 90.00
_cell_angle_beta 90.00
_cell_angle_gamma 120.00
_symmetry_space_group_name_H-M 'P 63/m'
_symmetry_Int_Tables_number 176
_symmetry_space_group_name_Hall '-P 6c'
loop_
_atom_site_label
_atom_site_type_symbol
_atom_site_fract_x
_atom_site_fract_y
_atom_site_fract_z
Ce1 Ce 0.3333 0.6667 0.2500
Pr1 Pr 0.0037 0.7624 0.2500
In1 In 0.0749 0.6152 0.7500
```



A relaxed structure of SmTlHgBr6. Source: Alexandria via LeMat-Bulk, functional PBE-GGA.

Computed properties:
* formation energy from raw total energies: -1.158 eV/atom
* calculated volume: 693 Å³ per cell

Cell and atoms, written as CIF:
```
data_SmTlHgBr6
_cell_length_a 7.4102
_cell_length_b 7.4102
_cell_length_c 14.5814
_cell_angle_alpha 90.00
_cell_angle_beta 90.00
_cell_angle_gamma 120.00
_symmetry_space_group_name_H-M 'P -3 1 c'
_symmetry_Int_Tables_number 163
_symmetry_space_group_name_Hall '-P 3 2c'
loop_
_atom_site_label
_atom_site_type_symbol
_atom_site_fract_x
_atom_site_fract_y
_atom_site_fract_z
Sm1 Sm 0.3333 0.6667 0.2500
Tl1 Tl 0.0000 0.0000 0.0000
Hg1 Hg 0.3333 0.6667 0.7500
Br1 Br 0.0012 0.3708 0.6357
```



A relaxed structure of Sr2LaF. Source: Alexandria via LeMat-Bulk, functional PBE-GGA.

Computed properties:
* distance to the lowest polymorph of the same formula: 159 meV/atom
* formation energy from raw total energies: -1.028 eV/atom
* calculated volume: 408 Å³ per cell

Cell and atoms, written as CIF:
```
data_Sr2LaF
_cell_length_a 3.8311
_cell_length_b 3.8311
_cell_length_c 32.1329
_cell_angle_alpha 90.00
_cell_angle_beta 90.00
_cell_angle_gamma 120.00
_symmetry_space_group_name_H-M 'R -3 m'
_symmetry_Int_Tables_number 166
_symmetry_space_group_name_Hall '-R 3 2"'
loop_
_atom_site_label
_atom_site_type_symbol
_atom_site_fract_x
_atom_site_fract_y
_atom_site_fract_z
Sr1 Sr 0.0000 0.0000 0.1148
La1 La 0.0000 0.0000 0.0000
F1 F 0.0000 0.0000 0.5000
```



A relaxed structure of Li4ThAs2. Source: Alexandria via LeMat-Bulk, functional PBE-GGA.

Computed properties:
* energy of formation from the pure elements: -0.747 eV/atom
* calculated volume: 252 Å³ per cell

Cell and atoms, written as CIF:
```
data_Li4ThAs2
_cell_length_a 7.846
_cell_length_b 7.846
_cell_length_c 4.092
_cell_angle_alpha 90.00
_cell_angle_beta 90.00
_cell_angle_gamma 90.00
_symmetry_space_group_name_H-M 'P 42/m n m'
_symmetry_Int_Tables_number 136
_symmetry_space_group_name_Hall '-P 4n 2n'
loop_
_atom_site_label
_atom_site_type_symbol
_atom_site_fract_x
_atom_site_fract_y
_atom_site_fract_z
Li1 Li 0.094 0.333 0.000
Th1 Th 0.000 0.000 0.500
As1 As 0.213 0.787 0.000
```



A relaxed structure of UHgSb2. Source: Alexandria via LeMat-Bulk, functional PBE-GGA.

Computed properties:
* distance to the lowest polymorph of the same formula: 65 meV/atom
* formation energy from raw total energies: -0.096 eV/atom
* calculated volume: 107 Å³ per cell

Cell and atoms, written as CIF:
```
data_UHgSb2
_cell_length_a 4.025
_cell_length_b 4.025
_cell_length_c 6.603
_cell_angle_alpha 90.00
_cell_angle_beta 90.00
_cell_angle_gamma 90.00
_symmetry_space_group_name_H-M 'P 4/m m m'
_symmetry_Int_Tables_number 123
_symmetry_space_group_name_Hall '-P 4 2'
loop_
_atom_site_label
_atom_site_type_symbol
_atom_site_fract_x
_atom_site_fract_y
_atom_site_fract_z
U1 U 0.000 0.000 0.000
Hg1 Hg 0.000 0.000 0.500
Sb1 Sb 0.500 0.500 0.225
```



A relaxed structure of LaPmY5. Source: Alexandria via LeMat-Bulk, functional PBE-GGA.

Computed properties:
* energy of formation from the pure elements: 0.098 eV/atom
* distance to the lowest polymorph of the same formula: 0 meV/atom
* calculated volume: 948 Å³ per cell

Cell and atoms, written as CIF:
```
data_LaPmY5
_cell_length_a 8.912
_cell_length_b 9.779
_cell_length_c 11.669
_cell_angle_alpha 90.00
_cell_angle_beta 111.20
_cell_angle_gamma 90.00
_symmetry_space_group_name_H-M 'C 1 2/c 1'
_symmetry_Int_Tables_number 15
_symmetry_space_group_name_Hall '-C 2yc'
loop_
_atom_site_label
_atom_site_type_symbol
_atom_site_fract_x
_atom_site_fract_y
_atom_site_fract_z
La1 La 0.000 0.242 0.250
Pm1 Pm 0.250 0.250 0.000
Y1 Y 0.000 0.409 0.750
Y2 Y 0.122 0.071 0.663
Y3 Y 0.170 0.401 0.536
```



A relaxed structure of TbMgCdGa. Source: Alexandria via LeMat-Bulk, functional PBE-GGA.

Computed properties:
* energy of formation from the pure elements: -0.363 eV/atom
* calculated volume: 358 Å³ per cell

Cell and atoms, written as CIF:
```
data_TbMgCdGa
_cell_length_a 7.099
_cell_length_b 7.099
_cell_length_c 7.099
_cell_angle_alpha 90.00
_cell_angle_beta 90.00
_cell_angle_gamma 90.00
_symmetry_space_group_name_H-M 'F -4 3 m'
_symmetry_Int_Tables_number 216
_symmetry_space_group_name_Hall 'F -4 2 3'
loop_
_atom_site_label
_atom_site_type_symbol
_atom_site_fract_x
_atom_site_fract_y
_atom_site_fract_z
Tb1 Tb 0.000 0.000 0.000
Mg1 Mg 0.000 0.000 0.500
Cd1 Cd 0.250 0.250 0.750
Ga1 Ga 0.250 0.250 0.250
```



A relaxed structure of Zr2AuNCl. Source: Alexandria via LeMat-Bulk, functional PBE-GGA.

Computed properties:
* formation energy from raw total energies: -0.222 eV/atom
* calculated volume: 92 Å³ per cell

Cell and atoms, written as CIF:
```
data_Zr2AuNCl
_cell_length_a 4.491
_cell_length_b 4.491
_cell_length_c 4.545
_cell_angle_alpha 90.00
_cell_angle_beta 90.00
_cell_angle_gamma 90.00
_symmetry_space_group_name_H-M 'P 4/m m m'
_symmetry_Int_Tables_number 123
_symmetry_space_group_name_Hall '-P 4 2'
loop_
_atom_site_label
_atom_site_type_symbol
_atom_site_fract_x
_atom_site_fract_y
_atom_site_fract_z
Zr1 Zr 0.000 0.500 0.000
Au1 Au 0.000 0.000 0.500
N1 N 0.000 0.000 0.000
Cl1 Cl 0.500 0.500 0.500
```



A relaxed structure of Ca2RhSe. Source: Alexandria via LeMat-Bulk, functional PBE-GGA.

Computed properties:
* formation energy from raw total energies: -0.928 eV/atom
* calculated volume: 88 Å³ per cell

Cell and atoms, written as CIF:
```
data_Ca2RhSe
_cell_length_a 3.594
_cell_length_b 3.594
_cell_length_c 6.797
_cell_angle_alpha 90.00
_cell_angle_beta 90.00
_cell_angle_gamma 90.00
_symmetry_space_group_name_H-M 'P 4/m m m'
_symmetry_Int_Tables_number 123
_symmetry_space_group_name_Hall '-P 4 2'
loop_
_atom_site_label
_atom_site_type_symbol
_atom_site_fract_x
_atom_site_fract_y
_atom_site_fract_z
Ca1 Ca 0.000 0.000 0.250
Rh1 Rh 0.500 0.500 0.000
Se1 Se 0.500 0.500 0.500
```



A relaxed structure of Sr2LiTl. Source: Alexandria via LeMat-Bulk, functional PBE-GGA.

Computed properties:
* energy of formation from the pure elements: -0.072 eV/atom
* distance to the lowest polymorph of the same formula: 170 meV/atom
* calculated volume: 474 Å³ per cell

Cell and atoms, written as CIF:
```
data_Sr2LiTl
_cell_length_a 4.1849
_cell_length_b 4.1849
_cell_length_c 31.2636
_cell_angle_alpha 90.00
_cell_angle_beta 90.00
_cell_angle_gamma 120.00
_symmetry_space_group_name_H-M 'R 3 m'
_symmetry_Int_Tables_number 160
_symmetry_space_group_name_Hall 'R 3 -2"'
loop_
_atom_site_label
_atom_site_type_symbol
_atom_site_fract_x
_atom_site_fract_y
_atom_site_fract_z
Sr1 Sr 0.0000 0.0000 0.0000
Sr2 Sr 0.0000 0.0000 0.1756
Li1 Li 0.0000 0.0000 0.4219
Tl1 Tl 0.0000 0.0000 0.5876
```



A relaxed structure of KCrSe. Source: Alexandria via LeMat-Bulk, functional PBE-GGA.

Computed properties:
* distance to the lowest polymorph of the same formula: 319 meV/atom
* formation energy from raw total energies: -0.037 eV/atom
* calculated volume: 343 Å³ per cell

Cell and atoms, written as CIF:
```
data_KCrSe
_cell_length_a 7.000
_cell_length_b 7.000
_cell_length_c 7.000
_cell_angle_alpha 90.00
_cell_angle_beta 90.00
_cell_angle_gamma 90.00
_symmetry_space_group_name_H-M 'F -4 3 m'
_symmetry_Int_Tables_number 216
_symmetry_space_group_name_Hall 'F -4 2 3'
loop_
_atom_site_label
_atom_site_type_symbol
_atom_site_fract_x
_atom_site_fract_y
_atom_site_fract_z
K1 K 0.000 0.000 0.000
Cr1 Cr 0.000 0.000 0.500
Se1 Se 0.250 0.250 0.250
```



A relaxed structure of As4S. Source: Alexandria via LeMat-Bulk, functional PBE-GGA.

Computed properties:
* formation energy from raw total energies: 0.845 eV/atom
* calculated volume: 110 Å³ per cell

Cell and atoms, written as CIF:
```
data_As4S
_cell_length_a 4.796
_cell_length_b 4.796
_cell_length_c 4.796
_cell_angle_alpha 90.00
_cell_angle_beta 90.00
_cell_angle_gamma 90.00
_symmetry_space_group_name_H-M 'P m -3 m'
_symmetry_Int_Tables_number 221
_symmetry_space_group_name_Hall '-P 4 2 3'
loop_
_atom_site_label
_atom_site_type_symbol
_atom_site_fract_x
_atom_site_fract_y
_atom_site_fract_z
As1 As 0.000 0.000 0.000
As2 As 0.000 0.500 0.500
S1 S 0.500 0.500 0.500
```